## NpCdTe2 (PBE)

Data for NpCdTe2 after structural relaxation.

Values from the calculation:
Energy relative to the lowest polymorph listed for this composition, meV/atom: 27.1
E, eV per formula unit: -21.49
Mass density, g/cm³: 7.78

```
4
Lattice="2.2238 1.2839 7.5319 -2.2238 1.2839 7.5319 0.0000 -2.5678 7.5319" Properties=species:S:1:pos:R:3 pbc="T T T"
Np 0.0000 0.0000 0.0000
Cd 0.0000 0.0000 3.6805
Te 0.0000 0.0000 9.2265
Te 0.0000 0.0000 13.2392
```